This record from Alexandria describes NdBe4SiPt2 after structural relaxation. The functional is PBE.

Structure (POSCAR):
```
NdBe4SiPt2
1.0
-3.4836 -1.8632 0.0690
-0.8792 -2.6491 -2.7966
1.9004 -7.6013 3.8118
Si Pt Be Nd
1 2 4 1
direct
0.5000 0.5000 0.5000 Si
0.7654 0.7654 0.7037 Pt
0.2346 0.2346 0.2963 Pt
0.8750 0.8750 0.3749 Be
0.1250 0.1250 0.6251 Be
0.4117 0.4117 0.7649 Be
0.5883 0.5883 0.2351 Be
0.0000 0.0000 0.0000 Nd
```

Values from the calculation:
The total energy is -40.4 eV for the cell shown. The value obtained for the spin magnetization is 0.00 μB per cell. The space-group type is R-3m, No. 166.

This record from Alexandria describes Hg2RhW after structural relaxation. The functional is PBE.

Structure (POSCAR):
```
Hg2RhW
1.0
3.3431 -3.2228 0.1294
2.5653 -0.5329 3.8360
-0.5257 -3.7873 2.6382
Hg Rh W
2 1 1
direct
0.2500 0.2500 0.2500 Hg
0.7500 0.7500 0.7500 Hg
0.0000 0.0000 0.0000 Rh
0.5000 0.5000 0.5000 W
```

Values from the calculation:
The total energy is -17.7 eV for the cell shown. The value obtained for the spin magnetization is 1.21 μB per cell. As for the energy relative to the elements: 3.2 eV/f.u. The space-group type is Fm-3m, No. 225.

This record from Alexandria describes NdMgIr2 after structural relaxation. The functional is PBE.

Structure (POSCAR):
```
NdMgIr2
1.0
-1.2654 0.2309 3.1331
2.1980 -2.3482 1.0608
4.3474 4.7059 1.4091
Ir Nd Mg
2 1 1
direct
0.0000 0.0000 0.2184 Ir
0.0000 0.0000 0.7816 Ir
0.5000 0.5000 0.5000 Nd
0.5000 0.5000 0.0000 Mg
```

Values from the calculation:
The total energy is -25.5 eV for the cell shown. The value obtained for the spin magnetization is 0.00 μB per cell. As for the energy relative to the elements: -1.5 eV/f.u. The space-group type is P4/mmm, No. 123.

- The highest spin magnetization belongs to which entry?
  Hg2RhW